(1)
This record from Alexandria describes crystalline Mg2In4Hg5 at its relaxed geometry. The functional is PBE.

Summary:
energy above the most stable polymorph in this dataset = 0 meV/atom
V = 25.0 Å³/atom
D(E_F) = 8.44 states/eV per cell
size of the total moment = 0.00 Bohr magnetons per cell

```
Mg2In4Hg5
1.0
7.524 0.000 0.000
0.000 20.536 0.000
0.000 0.000 3.560
Mg In Hg
4 8 10
Direct
0.122 0.214 0.000 Mg
0.378 0.714 0.000 Mg
0.622 0.286 0.000 Mg
0.878 0.786 0.000 Mg
0.012 0.638 0.000 In
0.169 0.954 0.000 In
0.331 0.454 0.000 In
0.488 0.138 0.000 In
0.512 0.862 0.000 In
0.669 0.546 0.000 In
0.831 0.046 0.000 In
0.988 0.362 0.000 In
0.000 0.500 0.500 Hg
0.154 0.096 0.500 Hg
0.188 0.806 0.500 Hg
0.312 0.306 0.500 Hg
0.346 0.596 0.500 Hg
0.500 0.000 0.500 Hg
0.654 0.404 0.500 Hg
0.688 0.694 0.500 Hg
0.812 0.194 0.500 Hg
0.846 0.904 0.500 Hg
```

---

(2)
This record from Alexandria describes crystalline ZrTi2Al at its relaxed geometry. The functional is PBE.

Summary:
E = -6.75 eV per atom
V = 19.2 Å³/atom
D(E_F) = 8.62 states/eV per cell
size of the total moment = 0.00 Bohr magnetons per cell

```
ZrTi2Al
1.0
-3.722 3.722 2.777
3.722 -3.722 2.777
3.722 3.722 -2.777
Zr Ti Al
2 4 2
Direct
0.000 0.000 0.000 Zr
0.750 0.250 0.500 Zr
0.143 0.125 0.518 Ti
0.375 0.857 0.982 Ti
0.607 0.625 0.482 Ti
0.875 0.393 0.018 Ti
0.250 0.750 0.500 Al
0.500 0.500 0.000 Al
```

---

(3)
This record from Alexandria describes crystalline SmFeSi at its relaxed geometry. The functional is PBE.

Summary:
V = 18.6 Å³/atom
formation energy without anion corrections = -0.60 eV/atom
D(E_F) = 6.04 states/eV per cell
size of the total moment = 0.00 Bohr magnetons per cell

```
SmFeSi
1.0
4.046 0.000 0.000
0.000 4.046 0.000
0.000 0.000 6.804
Sm Fe Si
2 2 2
Direct
0.250 0.250 0.185 Sm
0.750 0.750 0.815 Sm
0.250 0.750 0.500 Fe
0.750 0.250 0.500 Fe
0.250 0.250 0.668 Si
0.750 0.750 0.332 Si
```

---

(4)
This record from Alexandria describes crystalline SrSiW at its relaxed geometry. The functional is PBE.

Summary:
V = 25.2 Å³/atom
formation energy without anion corrections = 0.49 eV/atom
D(E_F) = 2.83 states/eV per cell
size of the total moment = 1.29 Bohr magnetons per cell

```
SrSiW
1.0
4.279 0.000 0.000
-2.139 3.706 0.000
0.000 0.000 4.778
Sr Si W
1 1 1
Direct
0.000 0.000 0.000 Sr
0.333 0.667 0.500 Si
0.667 0.333 0.500 W
```

---

(5)
This record from Alexandria describes crystalline NaTiGa2 at its relaxed geometry. The functional is PBE.

Summary:
energy above the most stable polymorph in this dataset = 0 meV/atom
V = 18.6 Å³/atom
D(E_F) = 3.18 states/eV per cell
size of the total moment = 0.00 Bohr magnetons per cell

```
NaTiGa2
1.0
2.948 0.000 0.000
0.000 2.948 0.000
0.000 0.000 8.559
Na Ti Ga
1 1 2
Direct
0.000 0.000 0.000 Na
0.000 0.000 0.500 Ti
0.500 0.500 0.283 Ga
0.500 0.500 0.717 Ga
```

---

The highest V belongs to which entry?
SrSiW